# PBE Mg5CdAg2, optimized geometry
data_Mg5CdAg2
_cell_length_a 6.365
_cell_length_b 7.804
_cell_length_c 6.468
_cell_angle_alpha 90.00
_cell_angle_beta 90.00
_cell_angle_gamma 90.00
_space_group_name_H-M_alt 'P 1'
_space_group_IT_number 1
_space_group_name_Hall 'P 1'
loop_
_atom_site_label
_atom_site_fract_x
_atom_site_fract_y
_atom_site_fract_z
_atom_site_occupancy
Mg1 0.000 0.000 0.000 1
Mg2 0.250 0.247 0.746 1
Mg3 0.250 0.253 0.246 1
Mg4 0.250 0.747 0.246 1
Mg5 0.250 0.753 0.746 1
Mg6 0.500 0.500 0.500 1
Mg7 0.750 0.247 0.746 1
Mg8 0.750 0.253 0.246 1
Mg9 0.750 0.747 0.246 1
Mg10 0.750 0.753 0.746 1
Cd1 0.000 0.000 0.493 1
Cd2 0.500 0.500 0.993 1
Ag1 0.000 0.500 0.498 1
Ag2 0.000 0.500 0.993 1
Ag3 0.500 0.000 0.493 1
Ag4 0.500 0.000 0.998 1
# * density of states at the Fermi level: 0.149 states/eV/atom
# * volume: 321.3 Å³ per cell
# * calculated formation energy: -0.1219 eV per atom


# PBE MgCd9Ag2, optimized geometry
data_MgCd9Ag2
_cell_length_a 5.448
_cell_length_b 7.214
_cell_length_c 7.981
_cell_angle_alpha 115.78
_cell_angle_beta 90.82
_cell_angle_gamma 111.38
_space_group_name_H-M_alt 'P 1'
_space_group_IT_number 1
_space_group_name_Hall 'P 1'
loop_
_atom_site_label
_atom_site_fract_x
_atom_site_fract_y
_atom_site_fract_z
_atom_site_occupancy
Mg1 0.000 0.000 0.000 1
Cd1 0.094 0.312 0.817 1
Cd2 0.252 0.670 0.664 1
Cd3 0.335 0.495 0.251 1
Cd4 0.446 0.824 0.077 1
Cd5 0.500 0.000 0.500 1
Cd6 0.554 0.176 0.923 1
Cd7 0.665 0.505 0.749 1
Cd8 0.748 0.330 0.336 1
Cd9 0.906 0.688 0.183 1
Ag1 0.148 0.181 0.418 1
Ag2 0.852 0.819 0.582 1
# * density of states at the Fermi level: 0.303 states/eV/atom
# * volume: 257.4 Å³ per cell
# * calculated formation energy: -0.0132 eV per atom